First-principles (PBE) data for an optimized crystal structure of Y2Al6Pt, as listed in Alexandria via LeMat-Bulk.

The calculated formation energy is -0.6190 eV/atom.

The structure belongs to space group P-3m1 (No. 164); the cell edges are 5.7895, 5.7895 and 5.9326 Å and the angles 90.00°, 90.00° and 120.00°. The inequivalent atoms are Y at (0.3333, 0.6667, 0.1296), Al at (0.1731, 0.3461, 0.6789) and Pt at (0.0000, 0.0000, 0.0000).